8
Lattice="8.8078 0.0000 0.0000 0.0000 2.7315 0.0000 -0.8662 0.0000 4.3266" Properties=species:S:1:pos:R:3 comment="MnZnRu2 (meta-GGA SCAN, PBEsol geometry)" formation_enthalpy_0k_ev_per_atom=-0.041 total_magnetization_mub_per_atom=0.910 density_g_cm3=10.3 pbc="T T T"
Mn 0.0000 0.0000 0.0000
Mn 4.4039 1.3657 0.0000
Zn 1.5261 0.0000 3.3074
Zn 5.9300 1.3657 3.3074
Ru 1.9814 1.3657 1.1456
Ru 3.9405 0.0000 2.1323
Ru 6.3853 0.0000 1.1456
Ru 8.3444 1.3657 2.1323

---

16
Lattice="6.0413 0.0000 0.0000 0.0000 6.0413 0.0000 0.0000 0.0000 6.0413" Properties=species:S:1:pos:R:3 comment="ZrMn2Ru (meta-GGA SCAN, PBEsol geometry)" polymorph_energy_mev_per_atom=90 formation_enthalpy_0k_ev_per_atom=-0.010 total_magnetization_mub_per_atom=1.459 density_g_cm3=9.1 pbc="T T T"
Zr 0.0000 0.0000 0.0000
Zr 0.0000 3.0206 3.0206
Zr 3.0206 0.0000 3.0206
Zr 3.0206 3.0206 0.0000
Mn 1.5103 1.5103 1.5103
Mn 1.5103 1.5103 4.5310
Mn 1.5103 4.5310 1.5103
Mn 1.5103 4.5310 4.5310
Mn 4.5310 1.5103 1.5103
Mn 4.5310 1.5103 4.5310
Mn 4.5310 4.5310 1.5103
Mn 4.5310 4.5310 4.5310
Ru 0.0000 0.0000 3.0206
Ru 0.0000 3.0206 0.0000
Ru 3.0206 0.0000 0.0000
Ru 3.0206 3.0206 3.0206

---

12
Lattice="2.7297 0.0000 0.0000 -1.3649 2.3640 0.0000 0.0000 0.0000 27.1259" Properties=species:S:1:pos:R:3 comment="ZrMnRu2 (meta-GGA SCAN, PBEsol geometry)" formation_enthalpy_0k_ev_per_atom=0.222 total_magnetization_mub_per_atom=0.614 density_g_cm3=9.9 pbc="T T T"
Zr 0.0000 0.0000 0.0000
Zr 0.0000 1.5760 18.0840
Zr 1.3649 0.7880 9.0420
Mn 0.0000 0.0000 6.6157
Mn 0.0000 1.5760 24.6997
Mn 1.3649 0.7880 15.6577
Ru 0.0000 0.0000 13.6628
Ru 0.0000 0.0000 20.5771
Ru 0.0000 1.5760 4.6208
Ru 0.0000 1.5760 11.5351
Ru 1.3649 0.7880 2.4931
Ru 1.3649 0.7880 22.7047

---

4
Lattice="2.9842 0.0000 0.0000 0.0000 2.9842 0.0000 0.0000 0.0000 6.4661" Properties=species:S:1:pos:R:3 comment="ZrMn2Ru (meta-GGA SCAN, PBEsol geometry)" polymorph_energy_mev_per_atom=0 formation_enthalpy_0k_ev_per_atom=-0.100 total_magnetization_mub_per_atom=1.464 density_g_cm3=8.7 pbc="T T T"
Zr 0.0000 0.0000 0.0000
Mn 1.4921 1.4921 1.8297
Mn 1.4921 1.4921 4.6363
Ru 0.0000 0.0000 3.2330

---

5
Lattice="4.9149 0.0000 0.0000 0.0000 4.9149 0.0000 0.0000 0.0000 4.9149" Properties=species:S:1:pos:R:3 comment="Zr3MnRu (meta-GGA SCAN, PBEsol geometry)" formation_enthalpy_0k_ev_per_atom=0.284 total_magnetization_mub_per_atom=0.763 density_g_cm3=6.0 pbc="T T T"
Zr 0.0000 0.0000 2.4574
Zr 0.0000 2.4574 0.0000
Zr 2.4574 0.0000 0.0000
Mn 2.4574 2.4574 2.4574
Ru 0.0000 0.0000 0.0000

---

12
Lattice="3.2943 0.0000 0.0000 -1.6472 2.8530 0.0000 0.0000 0.0000 23.9665" Properties=species:S:1:pos:R:3 comment="MnSbS2 (meta-GGA SCAN, PBEsol geometry)" total_magnetization_mub_per_atom=0.527 dft_energy_ev_per_atom=-19.2093 density_g_cm3=5.3 pbc="T T T"
Mn 0.0000 0.0000 0.0000
Mn 0.0000 1.9020 15.9777
Mn 1.6472 0.9510 7.9888
Sb 0.0000 0.0000 11.9833
Sb 0.0000 1.9020 3.9944
Sb 1.6472 0.9510 19.9721
S 0.0000 0.0000 9.2588
S 0.0000 0.0000 14.7077
S 0.0000 1.9020 1.2700
S 0.0000 1.9020 6.7189
S 1.6472 0.9510 17.2476
S 1.6472 0.9510 22.6965

---

5
Lattice="4.6883 0.0000 0.0000 0.0000 4.6883 0.0000 0.0000 0.0000 4.6883" Properties=species:S:1:pos:R:3 comment="Sc3MnS (meta-GGA SCAN, PBEsol geometry)" total_magnetization_mub_per_atom=0.229 dft_energy_ev_per_atom=-14.0435 density_g_cm3=3.6 pbc="T T T"
Sc 0.0000 0.0000 2.3441
Sc 0.0000 2.3441 0.0000
Sc 2.3441 0.0000 0.0000
Mn 0.0000 0.0000 0.0000
S 2.3441 2.3441 2.3441

---

28
Lattice="12.4798 0.0000 0.0000 0.0000 7.3038 0.0000 0.0000 0.0000 5.8686" Properties=species:S:1:pos:R:3 comment="Mn2SiS4 (meta-GGA SCAN, PBEsol geometry)" total_magnetization_mub_per_atom=1.429 dft_energy_ev_per_atom=-13.1262 density_g_cm3=3.3 pbc="T T T"
Mn 0.0000 0.0000 0.0000
Mn 0.0000 3.6519 0.0000
Mn 2.8939 1.8260 2.8742
Mn 3.3460 5.4779 5.8085
Mn 6.2399 0.0000 2.9343
Mn 6.2399 3.6519 2.9343
Mn 9.1338 1.8260 0.0601
Mn 9.5858 5.4779 2.9945
Si 1.1150 5.4779 2.3916
Si 5.1249 1.8260 5.3259
Si 7.3549 5.4779 0.5427
Si 11.3648 1.8260 3.4771
S 0.8535 1.8260 4.3368
S 1.1463 5.4779 4.5069
S 2.0961 3.8028 1.4759
S 2.0961 7.1529 1.4759
S 4.1438 0.1509 4.4102
S 4.1438 3.5010 4.4102
S 5.0936 1.8260 1.5726
S 5.3864 5.4779 1.4025
S 7.0934 1.8260 4.4661
S 7.3862 5.4779 4.2960
S 8.3360 3.8028 1.4584
S 8.3360 7.1529 1.4584
S 10.3836 0.1509 4.3928
S 10.3836 3.5010 4.3928
S 11.3335 1.8260 1.3617
S 11.6263 5.4779 1.5318

---

16
Lattice="5.0212 0.0000 0.0000 0.0000 5.0212 0.0000 0.0000 0.0000 10.1355" Properties=species:S:1:pos:R:3 comment="MnSiS2 (meta-GGA SCAN, PBEsol geometry)" total_magnetization_mub_per_atom=0.001 dft_energy_ev_per_atom=-11.8959 density_g_cm3=3.8 pbc="T T T"
Mn 0.0000 0.0000 0.0000
Mn 0.0000 2.5106 2.5339
Mn 2.5106 0.0000 7.6016
Mn 2.5106 2.5106 5.0677
Si 0.0000 0.0000 5.0677
Si 0.0000 2.5106 7.6016
Si 2.5106 0.0000 2.5339
Si 2.5106 2.5106 0.0000
S 1.1692 1.2553 1.2669
S 1.2553 3.6798 3.8008
S 1.2553 3.8520 8.8685
S 1.3414 1.2553 6.3347
S 3.6798 3.7659 6.3347
S 3.7659 1.1692 8.8685
S 3.7659 1.3414 3.8008
S 3.8520 3.7659 1.2669

---

23
Lattice="9.7430 0.0000 0.0000 -4.8715 8.4376 0.0000 0.0000 0.0000 5.5684" Properties=species:S:1:pos:R:3 comment="Y6MnSi2S14 (meta-GGA SCAN, PBEsol geometry)" total_magnetization_mub_per_atom=0.217 dft_energy_ev_per_atom=-16.6764 density_g_cm3=4.0 pbc="T T T"
Y -2.0178 3.8947 0.0000
Y 2.0104 1.7317 2.7595
Y -0.4896 8.2378 0.0000
Y 2.5075 4.7428 0.0000
Y 7.2381 0.8752 2.7595
Y 5.3659 5.8308 2.7595
Mn 4.8715 2.8125 4.0592
Si 0.0000 0.0000 0.4435
Si 0.0000 5.6251 3.2644
S 0.0000 0.0000 3.9180
S -0.3167 1.9380 1.2897
S -3.0348 7.7429 1.2897
S -1.8369 6.3227 4.1027
S 0.3143 3.6854 4.1027
S 0.0000 5.6251 1.1676
S 2.8810 2.0415 5.3895
S 4.5232 0.7018 2.6961
S 1.5226 6.8671 4.1027
S 3.2177 4.1695 2.6961
S 6.5345 1.4743 5.3895
S 3.3515 7.1944 1.2897
S 5.1989 4.9219 5.3895
S 6.8736 3.5663 2.6961

---

5
Lattice="4.8910 0.0000 0.0000 0.0000 4.8910 0.0000 0.0000 0.0000 4.8910" Properties=species:S:1:pos:R:3 comment="MnSnS3 (meta-GGA SCAN, PBEsol geometry)" total_magnetization_mub_per_atom=1.002 dft_energy_ev_per_atom=-16.3771 density_g_cm3=3.8 pbc="T T T"
Mn 0.0000 0.0000 0.0000
Sn 2.4455 2.4455 2.4455
S 0.0000 2.4455 2.4455
S 2.4455 0.0000 2.4455
S 2.4455 2.4455 0.0000

---

12
Lattice="3.2746 0.0000 0.0000 -1.6373 2.8359 0.0000 0.0000 0.0000 24.4355" Properties=species:S:1:pos:R:3 comment="MnSnS2 (meta-GGA SCAN, PBEsol geometry)" total_magnetization_mub_per_atom=0.590 dft_energy_ev_per_atom=-18.9617 density_g_cm3=5.2 pbc="T T T"
Mn 0.0000 0.0000 0.0000
Mn 0.0000 1.8906 16.2904
Mn 1.6373 0.9453 8.1452
Sn 0.0000 0.0000 12.2178
Sn 0.0000 1.8906 4.0726
Sn 1.6373 0.9453 20.3629
S 0.0000 0.0000 9.4331
S 0.0000 0.0000 15.0024
S 0.0000 1.8906 1.2879
S 0.0000 1.8906 6.8572
S 1.6373 0.9453 17.5783
S 1.6373 0.9453 23.1476